A plane-wave DFT calculation with PBE-GGA was carried out for a relaxed structure of TlCd2IrO6.

Unit cell a=5.730 b=5.730 c=5.849 alpha=60.67 beta=60.67 gamma=60.00
Atoms (fractional coordinates):
O: 0.677 0.138 0.776
O: 0.214 0.976 0.246
O: 0.976 0.564 0.246
O: 0.564 0.214 0.246
O: 0.138 0.409 0.776
O: 0.409 0.676 0.776
Ir: 0.319 0.319 0.042
Tl: 0.798 0.798 0.605
Cd: 0.027 0.027 0.920
Cd: 0.540 0.540 0.381

N(E_F) = 4.56 states/eV/cell
formation energy (no corrections) = -750 kJ/mol of formula units
V = 13.71 Å³ per atom